No. 1
A relaxed structure of EuDyGaGe, computed with PBE-GGA.

Cell lengths 5.147, 5.147, 5.147 Å; angles 60.00, 60.00, 60.00 degrees
Atoms (fractional coordinates):
1 Eu 0.000 0.000 0.000
2 Dy 0.500 0.500 0.500
3 Ga 0.750 0.750 0.750
4 Ge 0.250 0.250 0.250

Computed properties:
The value obtained for the total energy is -6.162 eV/atom. Its density is 7.87 g/cm3. The total magnetization is 7.0 μB/f.u. The value obtained for the formation energy is -0.532 eV per atom.

No. 2
A relaxed structure of EuDyGaHg, computed with PBE-GGA.

Cell lengths 5.291, 5.291, 5.291 Å; angles 60.00, 60.00, 60.00 degrees
Atoms (fractional coordinates):
1 Eu 0.000 0.000 0.000
2 Dy 0.500 0.500 0.500
3 Ga 0.250 0.250 0.250
4 Hg 0.750 0.750 0.750

Computed properties:
The value obtained for the total energy is -5.034 eV/atom. Its density is 9.27 g/cm3. The total magnetization is 7.2 μB/f.u. The value obtained for the formation energy is -0.483 eV per atom.